# 1
6
Lattice="4.0665 0.0000 0.0000 -2.0333 3.5217 0.0000 0.0000 0.0000 11.3351" Properties=species:S:1:pos:R:3 comment="AlCuPb (PBE, relaxed)" e_form_ev_per_atom=0.58 total_magnetization_mub_per_fu=0.00 final_energy_ev_per_atom=-3.268 space_group="No. 194" pbc="T T T"
Al 0.0000 0.0000 2.8338
Al 0.0000 0.0000 8.5013
Cu 0.0000 2.3478 2.8338
Cu 2.0333 1.1739 8.5013
Pb 0.0000 0.0000 0.0000
Pb 0.0000 0.0000 5.6675

---

# 2
6
Lattice="3.2143 0.0000 0.0000 0.0000 3.9964 0.0000 -1.5767 0.0000 9.9301" Properties=species:S:1:pos:R:3 comment="AlCuPb (PBE, relaxed)" e_form_ev_per_atom=-0.02 total_magnetization_mub_per_fu=0.00 final_energy_ev_per_atom=-3.869 space_group="No. 11" pbc="T T T"
Al 0.0003 0.9991 1.1754
Al 1.6372 2.9973 8.7547
Cu 0.0299 0.9991 9.0862
Cu 1.6077 2.9973 0.8439
Pb 0.0000 2.9973 3.4209
Pb 1.6375 0.9991 6.5091

---

# 3
6
Lattice="4.9811 0.0000 0.0000 -2.4906 4.3138 0.0000 0.0000 0.0000 5.7825" Properties=species:S:1:pos:R:3 comment="AlCuPb (PBE, relaxed)" e_form_ev_per_atom=0.46 total_magnetization_mub_per_fu=0.00 final_energy_ev_per_atom=-3.392 space_group="No. 194" pbc="T T T"
Al 0.0000 2.8758 1.4456
Al 2.4906 1.4379 4.3369
Cu 0.0000 0.0000 0.0000
Cu 0.0000 0.0000 2.8913
Pb 0.0000 2.8758 4.3369
Pb 2.4906 1.4379 1.4456

---

# 4
5
Lattice="5.2681 0.0000 0.0000 0.0000 5.2681 0.0000 0.0000 0.0000 5.2681" Properties=species:S:1:pos:R:3 comment="AlCuPb3 (PBE, relaxed)" e_form_ev_per_atom=0.43 total_magnetization_mub_per_fu=0.00 final_energy_ev_per_atom=-3.363 space_group="No. 221" pbc="T T T"
Al 0.0000 0.0000 0.0000
Cu 2.6340 2.6340 2.6340
Pb 0.0000 2.6340 2.6340
Pb 2.6340 0.0000 2.6340
Pb 2.6340 2.6340 0.0000

---

# 5
4
Lattice="3.2511 0.0000 0.0000 0.0000 3.2511 0.0000 0.0000 0.0000 6.6477" Properties=species:S:1:pos:R:3 comment="AlCu2Pb (PBE, relaxed)" e_form_ev_per_atom=0.11 total_magnetization_mub_per_fu=0.00 final_energy_ev_per_atom=-3.804 space_group="No. 123" pbc="T T T"
Al 0.0000 0.0000 0.0000
Cu 1.6256 1.6256 1.2526
Cu 1.6256 1.6256 5.3951
Pb 0.0000 0.0000 3.3238

---

# 6
8
Lattice="3.0279 0.0000 0.0000 0.0000 4.9903 0.0000 0.0000 0.0000 9.5001" Properties=species:S:1:pos:R:3 comment="AlCu2Pb (PBE, relaxed)" e_form_ev_per_atom=0.27 total_magnetization_mub_per_fu=0.00 final_energy_ev_per_atom=-3.646 space_group="No. 44" pbc="T T T"
Al 0.0000 0.0000 0.0000
Al 1.5140 2.4951 4.7501
Cu 0.0000 0.0000 4.1595
Cu 0.0000 2.4951 6.8629
Cu 1.5140 0.0000 2.1128
Cu 1.5140 2.4951 8.9096
Pb 0.0000 2.4951 1.9857
Pb 1.5140 0.0000 6.7358